Below is crystalline CrCoCl at its relaxed geometry, with properties calculated at the GGA-PBEsol level.

Cell: 5.2007 5.2007 5.2007 Å, 90.00 90.00 90.00°
Space group F-43m (No. 216)
Symmetry-distinct sites (fractional):
Cr 0.0000 0.0000 0.0000
Co 0.0000 0.0000 0.5000
Cl 0.2500 0.2500 0.7500

## Properties
E	-5.85	eV per atom
energy above the most stable polymorph in this dataset	0.000	eV per atom
N(E_F)	1.112	states/eV/atom